1.
Crystalline Ti3BC at its relaxed geometry. Source: the Alexandria database, functional PBE.

Computed properties:
- M_tot: 0.000 μB per atom
- D(E_F): 3.43 states/eV/cell
- Uncorrected energy: -0.296 hartree per atom
- Formation enthalpy at 0 K: -0.149 eV/atom
- ΔE to the lowest computed polymorph: 166 kJ/mol of formula units

Cell lengths 4.0373, 4.0373, 4.0373 Å; angles 90.00, 90.00, 90.00 degrees
Space group Pm-3m (No. 221)
Symmetry-distinct sites (fractional):
Ti 0.0000 0.0000 0.5000 [3 per cell]
B 0.5000 0.5000 0.5000 [1 per cell]
C 0.0000 0.0000 0.0000 [1 per cell]



2.
Crystalline VZnCuRh at its relaxed geometry. Source: the Alexandria database, functional PBE.

Computed properties:
- M_tot: 0.255 μB per atom
- D(E_F): 10.98 states/eV/cell
- Uncorrected energy: -0.206 hartree per atom
- Formation enthalpy at 0 K: -0.150 eV/atom

Cell lengths 6.0005, 6.0005, 6.0005 Å; angles 90.00, 90.00, 90.00 degrees
Space group F-43m (No. 216)
Symmetry-distinct sites (fractional):
V 0.0000 0.0000 0.0000 [4 per cell]
Zn 0.0000 0.0000 0.5000 [4 per cell]
Cu 0.2500 0.2500 0.7500 [4 per cell]
Rh 0.2500 0.2500 0.2500 [4 per cell]



3.
Crystalline Li2NdAg at its relaxed geometry. Source: the Alexandria database, functional PBE.

Computed properties:
- M_tot: 0.000 μB per atom
- D(E_F): 2.53 states/eV/cell
- Uncorrected energy: -0.107 hartree per atom
- Formation enthalpy at 0 K: -0.039 eV/atom
- ΔE to the lowest computed polymorph: 21 kJ/mol of formula units

Cell lengths 3.3893, 3.3893, 7.4789 Å; angles 90.00, 90.00, 90.00 degrees
Space group P4/mmm (No. 123)
Symmetry-distinct sites (fractional):
Li 0.0000 0.0000 0.1830 [2 per cell]
Nd 0.5000 0.5000 0.5000 [1 per cell]
Ag 0.5000 0.5000 0.0000 [1 per cell]



4.
Crystalline La2Mg16Al at its relaxed geometry. Source: the Alexandria database, functional PBE.

Computed properties:
- M_tot: 0.000 μB per atom
- D(E_F): 20.28 states/eV/cell
- Uncorrected energy: -0.079 hartree per atom
- Formation enthalpy at 0 K: -0.080 eV/atom

Cell lengths 10.2838, 10.2838, 15.1898 Å; angles 90.00, 90.00, 120.00 degrees
Space group R3m (No. 160, hexagonal axes)
Symmetry-distinct sites (fractional):
La 0.0000 0.0000 0.0000 [3 per cell]
La 0.0000 0.0000 0.3472 [3 per cell]
Mg 0.0000 0.0000 0.7621 [3 per cell]
Mg 0.0001 0.2991 0.6718 [18 per cell]
Mg 0.0016 0.5008 0.1721 [9 per cell]
Mg 0.0046 0.5023 0.8246 [9 per cell]
Mg 0.1702 0.3404 0.8527 [9 per cell]
Al 0.0000 0.0000 0.5691 [3 per cell]



5.
Crystalline BaSc2Hg at its relaxed geometry. Source: the Alexandria database, functional PBE.

Computed properties:
- M_tot: 0.140 μB per atom
- D(E_F): 20.02 states/eV/cell
- Uncorrected energy: -0.134 hartree per atom
- Formation enthalpy at 0 K: 0.086 eV/atom

Cell lengths 3.6219, 3.6219, 31.8541 Å; angles 90.00, 90.00, 120.00 degrees
Space group R3m (No. 160, hexagonal axes)
Symmetry-distinct sites (fractional):
Ba 0.0000 0.0000 0.0000 [3 per cell]
Sc 0.0000 0.0000 0.2336 [3 per cell]
Sc 0.0000 0.0000 0.4901 [3 per cell]
Hg 0.0000 0.0000 0.7555 [3 per cell]



6.
Crystalline InSb2P at its relaxed geometry. Source: the Alexandria database, functional PBE.

Computed properties:
- M_tot: 0.000 μB per atom
- D(E_F): 4.53 states/eV/cell
- Uncorrected energy: -0.142 hartree per atom
- ΔE to the lowest computed polymorph: 59 kJ/mol of formula units
- ΔE_f (raw): 0.2434 eV per atom

Cell lengths 6.0836, 6.0836, 14.2987 Å; angles 90.00, 90.00, 90.00 degrees
Space group I-42d (No. 122)
Symmetry-distinct sites (fractional):
In 0.0000 0.0000 0.0000 [4 per cell]
Sb 0.2132 0.2500 0.6250 [8 per cell]
P 0.0000 0.0000 0.5000 [4 per cell]



Please write out number 2 again, unchanged.
Crystalline VZnCuRh at its relaxed geometry. Source: the Alexandria database, functional PBE.

Computed properties:
- M_tot: 0.255 μB per atom
- D(E_F): 10.98 states/eV/cell
- Uncorrected energy: -0.206 hartree per atom
- Formation enthalpy at 0 K: -0.150 eV/atom

Cell lengths 6.0005, 6.0005, 6.0005 Å; angles 90.00, 90.00, 90.00 degrees
Space group F-43m (No. 216)
Symmetry-distinct sites (fractional):
V 0.0000 0.0000 0.0000 [4 per cell]
Zn 0.0000 0.0000 0.5000 [4 per cell]
Cu 0.2500 0.2500 0.7500 [4 per cell]
Rh 0.2500 0.2500 0.2500 [4 per cell]



Q: Look up the M_tot of the fifth one.
A: 0.140 μB per atom



Q: What is the M_tot in the second record?
A: 0.255 μB per atom